# 1
This record from the Alexandria database describes a relaxed Zr6RuRh5 crystal. The functional is PBE.

Summary:
Formation enthalpy at 0 K: -70.88 kJ/mol of atoms
Crystal system: monoclinic
SG: P2/m, No. 10

Cell: 4.6648 6.5996 7.3485 Å, 90.00 108.18 90.00°
Last column: nearest neighbours and their distance in Å.
Fractional positions:
1 Zr 0.0000 0.2483 0.0000  2 Ru 2.85, 6 Rh 2.85-2.86
2 Zr 0.0000 0.7517 0.0000  2 Ru 2.85, 6 Rh 2.85-2.86
3 Zr 0.3347 0.2500 0.6685  7 Rh 2.84-2.87, 1 Ru 2.84
4 Zr 0.3347 0.7500 0.6685  7 Rh 2.84-2.87, 1 Ru 2.84
5 Zr 0.6653 0.2500 0.3315  7 Rh 2.84-2.87, 1 Ru 2.84
6 Zr 0.6653 0.7500 0.3315  7 Rh 2.84-2.87, 1 Ru 2.84
7 Ru 0.5000 0.0000 0.0000  8 Zr 2.84-2.85
8 Rh 0.1654 0.5000 0.3323  8 Zr 2.85-2.87
9 Rh 0.1670 0.0000 0.3357  8 Zr 2.85-2.86
10 Rh 0.5000 0.5000 0.0000  8 Zr 2.84-2.86
11 Rh 0.8330 0.0000 0.6643  8 Zr 2.85-2.86
12 Rh 0.8346 0.5000 0.6677  8 Zr 2.85-2.87

# 2
This record from the Alexandria database describes a relaxed Zr2RuRh crystal. The functional is PBE.

Summary:
Formation enthalpy at 0 K: -57.70 kJ/mol of atoms
Crystal system: orthorhombic
SG: Amm2, No. 38

Cell: 4.5024 5.2375 5.2375 Å, 36.33 90.00 90.00°
Last column: nearest neighbours and their distance in Å.
Fractional positions:
1 Zr 0.0000 0.0000 0.0000  3 Rh 2.67-2.83, 4 Ru 2.82
2 Zr 0.5000 0.2832 0.2832  3 Ru 2.62-2.87, 4 Rh 2.83
3 Ru 0.5000 0.5467 0.5467  7 Zr 2.62-2.87, 2 Rh 2.91
4 Rh 0.0000 0.7322 0.7322  7 Zr 2.67-2.83, 2 Ru 2.91

# 3
This record from the Alexandria database describes a relaxed ZrRuRh2 crystal. The functional is PBE.

Summary:
Formation enthalpy at 0 K: -35.69 kJ/mol of atoms
Crystal system: tetragonal
SG: I-4m2, No. 119

Cell: 4.8442 4.8442 4.8442 Å, 131.20 131.20 71.49°
Last column: nearest neighbours and their distance in Å.
Fractional positions:
1 Zr 0.0000 0.0000 0.0000  4 Ru 2.81, 8 Rh 2.81-2.83
2 Ru 0.7500 0.2500 0.5000  4 Zr 2.81, 8 Rh 2.81-2.83
3 Rh 0.2500 0.7500 0.5000  4 Zr 2.81, 4 Rh 2.81, 4 Ru 2.83
4 Rh 0.5000 0.5000 0.0000  4 Ru 2.81, 4 Rh 2.81, 4 Zr 2.83